# FeHIrPd2 | the Alexandria database | GGA-PBE | optimized geometry
data_FeHIrPd2
_chemical_formula_sum 'Fe1 H1 Ir1 Pd2'
_cell_length_a 3.938
_cell_length_b 3.938
_cell_length_c 3.950
_cell_angle_alpha 90.00
_cell_angle_beta 90.00
_cell_angle_gamma 90.00
_symmetry_space_group_name_H-M 'P 4/m m m'
_symmetry_Int_Tables_number 123
_symmetry_space_group_name_Hall '-P 4 2'
loop_
_atom_site_label
_atom_site_type_symbol
_atom_site_fract_x
_atom_site_fract_y
_atom_site_fract_z
Fe1 Fe 0.000 0.000 0.000
H1 H 0.500 0.500 0.500
Ir1 Ir 0.500 0.500 0.000
Pd1 Pd 0.000 0.500 0.500
# D(E_F), states/eV per atom: 0.825
# Crystal system: tetragonal
# Relative energy among the computed polymorphs, eV per formula unit: 0.00
# Size of the total moment, μB/cell: 4.5



# Sm5Er4Cd | the Alexandria database | GGA-PBE | optimized geometry
data_Sm5Er4Cd
_chemical_formula_sum 'Sm5 Er4 Cd1'
_cell_length_a 3.597
_cell_length_b 3.597
_cell_length_c 24.171
_cell_angle_alpha 90.00
_cell_angle_beta 90.00
_cell_angle_gamma 90.00
_symmetry_space_group_name_H-M 'P 4/m m m'
_symmetry_Int_Tables_number 123
_symmetry_space_group_name_Hall '-P 4 2'
loop_
_atom_site_label
_atom_site_type_symbol
_atom_site_fract_x
_atom_site_fract_y
_atom_site_fract_z
Sm1 Sm 0.000 0.000 0.000
Sm2 Sm 0.000 0.000 0.206
Sm3 Sm 0.000 0.000 0.412
Er1 Er 0.500 0.500 0.103
Er2 Er 0.500 0.500 0.309
Cd1 Cd 0.500 0.500 0.500
# D(E_F), states/eV per atom: 1.340
# ΔE_f, eV/atom: -0.0427
# Crystal system: tetragonal
# Size of the total moment, μB/cell: 0.0